5
Lattice="-1.805 2.803 -3.953 -2.849 -4.874 -2.155 -4.188 1.220 2.777" Properties=species:S:1:pos:R:3 comment="PBE-GGA NaLaTi2Te, relaxed" e_form_raw_ev_per_atom=0.4565 energy_ev_per_atom=-4.58 pbc="T T T"
Te 0.000 0.000 0.000
Na -4.421 -0.425 -1.665
La -1.425 -2.437 -1.077
Ti -2.094 0.610 1.389
Ti -0.902 1.401 -1.976